A relaxed AgPbIF2 crystal, computed with GGA-PBE.

abc: 4.1203 7.8617 8.5263
angles: 96.51 90.00 90.00
Atoms (fractional coordinates):
1 Ag 0.7500 0.5153 0.8786
2 Ag 0.2500 0.4847 0.1214
3 Pb 0.7500 0.8766 0.3252
4 Pb 0.2500 0.1234 0.6748
5 I 0.7500 0.2371 0.0871
6 I 0.2500 0.7629 0.9129
7 F 0.2500 0.7046 0.3378
8 F 0.2500 0.0665 0.4070
9 F 0.7500 0.9335 0.5930
10 F 0.7500 0.2954 0.6622

Calculated values
As for the space-group type: P2_1/m. The formation energy from raw total energies is -1.406 eV per atom.